Entry 1:
{"formula": "HoZrAg4", "functional": "PBE", "state": "optimized geometry", "magmom_total_mub_per_atom": 0.07, "formation_energy_ev_per_atom": -0.191, "lattice_angstrom": [[3.628, 0.000, 0.000], [0.000, 3.628, 0.000], [0.000, 0.000, 9.132]], "species": ["Ho", "Ag", "Ag", "Ag", "Ag", "Zr"], "fractional_positions": [[0.000, 0.000, 0.000], [0.000, 0.000, 0.665], [0.500, 0.500, 0.824], [0.000, 0.000, 0.335], [0.500, 0.500, 0.176], [0.500, 0.500, 0.500]]}



Entry 2:
{"formula": "HoZrAg6", "functional": "PBE", "state": "optimized geometry", "magmom_total_mub_per_atom": 0.00, "formation_energy_ev_per_atom": -0.157, "lattice_angstrom": [[-2.493, 3.056, 2.962], [3.320, -1.932, 4.788], [3.413, 3.651, -0.893]], "species": ["Ho", "Ag", "Ag", "Ag", "Ag", "Ag", "Ag", "Zr"], "fractional_positions": [[0.000, 0.000, 0.841], [0.500, 0.254, 0.661], [0.000, 0.262, 0.335], [0.500, 0.746, 0.661], [0.000, 0.500, 0.830], [0.000, 0.738, 0.335], [0.500, 0.000, 0.182], [0.500, 0.500, 0.155]]}



Entry 3:
{"formula": "AgI3", "functional": "PBE", "state": "optimized geometry", "final_energy_ev_per_atom": -1.956, "lattice_angstrom": [[2.270, 1.311, 8.975], [-2.270, 1.311, 8.975], [0.000, -2.622, 8.975]], "species": ["I", "I", "I", "Ag"], "fractional_positions": [[0.109, 0.109, 0.109], [0.000, 0.000, 0.000], [0.891, 0.891, 0.891], [0.500, 0.500, 0.500]]}



Entry 4:
{"formula": "AgI3", "functional": "PBE", "state": "optimized geometry", "final_energy_ev_per_atom": -1.933, "lattice_angstrom": [[6.627, 0.000, 0.000], [0.954, 7.564, 0.000], [3.074, 2.844, 6.385]], "species": ["I", "I", "I", "I", "I", "I", "Ag", "Ag"], "fractional_positions": [[0.273, 0.433, 0.663], [0.292, 0.090, 0.308], [0.796, 0.259, 0.001], [0.727, 0.567, 0.337], [0.204, 0.741, 0.999], [0.708, 0.910, 0.692], [0.975, 0.858, 0.331], [0.025, 0.142, 0.669]]}



Entry 5:
{"formula": "InAgI4O12", "functional": "PBE", "state": "optimized geometry", "final_energy_ev_per_atom": -4.402, "lattice_angstrom": [[-4.763, 0.306, 0.140], [-0.629, -6.038, -2.351], [-0.163, -3.812, 7.670]], "species": ["O", "O", "O", "O", "O", "O", "O", "O", "O", "O", "O", "O", "In", "I", "I", "I", "I", "Ag"], "fractional_positions": [[0.238, 0.363, 0.966], [0.206, 0.053, 0.284], [0.762, 0.637, 0.034], [0.298, 0.956, 0.901], [0.728, 0.527, 0.715], [0.188, 0.718, 0.577], [0.272, 0.473, 0.285], [0.314, 0.264, 0.663], [0.812, 0.282, 0.423], [0.686, 0.736, 0.337], [0.702, 0.044, 0.099], [0.794, 0.947, 0.716], [0.500, 0.500, 0.500], [0.995, 0.711, 0.769], [0.516, 0.796, 0.141], [0.005, 0.289, 0.231], [0.484, 0.204, 0.859], [0.500, 0.000, 0.500]]}



Entry 6:
{"formula": "AgIrI6", "functional": "PBE", "state": "optimized geometry", "magmom_total_mub_per_atom": 0.19, "final_energy_ev_per_atom": -2.433, "lattice_angstrom": [[0.000, 5.416, 5.416], [5.416, 0.000, 5.416], [5.416, 5.416, 0.000]], "species": ["Ir", "I", "I", "I", "I", "I", "I", "Ag"], "fractional_positions": [[0.250, 0.250, 0.250], [0.496, 0.496, 0.004], [0.004, 0.004, 0.496], [0.496, 0.004, 0.004], [0.004, 0.496, 0.496], [0.496, 0.004, 0.496], [0.004, 0.496, 0.004], [0.500, 0.500, 0.500]]}



Entry 7:
{"formula": "K2AgPtI6", "functional": "PBE", "state": "optimized geometry", "magmom_total_mub_per_atom": 0.00, "final_energy_ev_per_atom": -2.670, "lattice_angstrom": [[-6.242, -4.699, -2.196], [-7.613, 2.547, 1.192], [-4.619, 2.090, -6.337]], "species": ["K", "K", "I", "I", "I", "I", "I", "I", "Ag", "Pt"], "fractional_positions": [[0.250, 0.250, 0.250], [0.750, 0.750, 0.750], [0.759, 0.241, 0.241], [0.759, 0.241, 0.759], [0.759, 0.759, 0.241], [0.241, 0.759, 0.759], [0.241, 0.759, 0.241], [0.241, 0.241, 0.759], [0.500, 0.500, 0.500], [0.000, 0.000, 0.000]]}



Entry 8:
{"formula": "LiAgI2", "functional": "PBE", "state": "optimized geometry", "final_energy_ev_per_atom": -2.700, "lattice_angstrom": [[4.615, 0.000, 0.000], [-2.308, 3.997, 0.000], [0.000, 0.000, 7.470]], "species": ["Ag", "I", "I", "Li"], "fractional_positions": [[0.333, 0.667, 0.497], [0.000, 0.000, 0.634], [0.333, 0.667, 0.115], [0.000, 0.000, 0.004]]}



Entry 9:
{"formula": "LiAg2I", "functional": "PBE", "state": "optimized geometry", "final_energy_ev_per_atom": -2.255, "lattice_angstrom": [[3.713, 0.000, 0.000], [0.000, 3.713, 0.000], [0.000, 0.000, 8.090]], "species": ["I", "Ag", "Ag", "Li"], "fractional_positions": [[0.000, 0.000, 0.000], [0.000, 0.000, 0.664], [0.000, 0.000, 0.336], [0.500, 0.500, 0.500]]}



Entry 10:
{"formula": "Rb2LuAgI6", "functional": "PBE", "state": "optimized geometry", "magmom_total_mub_per_atom": 0.00, "final_energy_ev_per_atom": -3.013, "lattice_angstrom": [[-1.423, -6.375, 5.404], [-7.429, -1.562, -3.773], [7.134, 0.175, -4.577]], "species": ["I", "I", "I", "I", "I", "I", "Lu", "Rb", "Rb", "Ag"], "fractional_positions": [[0.248, 0.752, 0.000], [0.752, 0.752, 0.504], [0.248, 0.248, 0.496], [0.753, 0.753, 0.000], [0.752, 0.248, 0.000], [0.247, 0.247, 0.000], [0.000, 0.000, 0.000], [0.250, 0.750, 0.500], [0.750, 0.250, 0.500], [0.500, 0.500, 0.000]]}



Entry 11:
{"formula": "Sr2AgIN6", "functional": "PBE", "state": "optimized geometry", "final_energy_ev_per_atom": -5.323, "lattice_angstrom": [[-2.761, 2.761, 5.371], [2.761, -2.761, 5.371], [2.761, 2.761, -5.371]], "species": ["N", "N", "N", "N", "N", "N", "Ag", "Sr", "Sr", "I"], "fractional_positions": [[0.439, 0.909, 0.348], [0.909, 0.561, 0.469], [0.799, 0.799, 0.000], [0.201, 0.201, 0.000], [0.561, 0.091, 0.652], [0.091, 0.439, 0.531], [0.500, 0.500, 0.000], [0.750, 0.250, 0.500], [0.250, 0.750, 0.500], [0.000, 0.000, 0.000]]}



Entry 12:
{"formula": "NpAg2I6", "functional": "PBE", "state": "optimized geometry", "magmom_total_mub_per_atom": 0.33, "final_energy_ev_per_atom": -3.619, "lattice_angstrom": [[-4.555, 6.725, -3.163], [-2.942, 6.917, 4.414], [2.653, 8.267, -0.775]], "species": ["Ag", "Ag", "I", "I", "I", "I", "I", "I", "Np"], "fractional_positions": [[0.598, 0.598, 0.598], [0.733, 0.733, 0.733], [0.734, 0.111, 0.399], [0.111, 0.399, 0.734], [0.949, 0.574, 0.235], [0.235, 0.949, 0.574], [0.574, 0.235, 0.949], [0.399, 0.734, 0.111], [0.333, 0.333, 0.333]]}